Record 1
The following is a DFT calculation (PBE) of a relaxed HoNbFe2 crystal.

Cell lengths 3.125, 3.125, 6.598 Å; angles 90.00, 90.00, 90.00 degrees
Site moments in Bohr magnetons follow the coordinates.
Sites, in units of the cell vectors:
Nb  0.500  0.500  0.000  -0.16
Fe  0.000  0.000  0.786  0.35
Fe  0.000  0.000  0.214  0.35
Ho  0.500  0.500  0.500  -0.12

Calculated values
The space group is No. 123. For the total energy, the calculation gives -7.877 eV per atom. The formation enthalpy at 0 K comes out at 0.0162 eV/atom. The value obtained for the density of states at the Fermi level is 1.631 states/eV/f.u.


Record 2
The following is a DFT calculation (PBE) of a relaxed Ho2TmAl crystal.

Cell lengths 4.710, 4.727, 4.727 Å; angles 90.00, 90.00, 90.00 degrees
Sites, in units of the cell vectors:
Tm  0.500  0.500  0.500
Ho  0.000  0.500  0.000
Ho  0.000  0.000  0.500
Al  0.500  0.000  0.000

Calculated values
The space group is No. 123. For the total energy, the calculation gives -4.537 eV per atom. The formation enthalpy at 0 K comes out at -0.1947 eV/atom. The value obtained for the density of states at the Fermi level is 4.734 states/eV/f.u.


Record 3
The following is a DFT calculation (PBE) of a relaxed MnCoCu4 crystal.

Cell lengths 4.746, 4.746, 4.746 Å; angles 60.00, 60.00, 60.00 degrees
Site moments in Bohr magnetons follow the coordinates.
Sites, in units of the cell vectors:
Mn  0.750  0.750  0.750  3.73
Co  0.000  0.000  0.000  1.40
Cu  0.375  0.375  0.375  0.04
Cu  0.375  0.375  0.875  0.04
Cu  0.875  0.375  0.375  0.04
Cu  0.375  0.875  0.375  0.04

Calculated values
The space group is No. 216. For the total energy, the calculation gives -5.201 eV per atom. The formation enthalpy at 0 K comes out at 0.2428 eV/atom. The value obtained for the density of states at the Fermi level is 5.568 states/eV/f.u.


Record 4
The following is a DFT calculation (PBE) of a relaxed NpNi2H7Pd2 crystal.

Cell lengths 3.345, 3.795, 8.656 Å; angles 102.62, 100.88, 90.01 degrees
Site moments in Bohr magnetons follow the coordinates.
Sites, in units of the cell vectors:
Pd  0.713  0.212  0.424  -0.08
Pd  0.287  0.788  0.576  -0.08
H  0.600  0.102  0.204  -0.01
H  0.500  0.500  0.000  -0.01
H  0.400  0.898  0.796  -0.01
H  0.916  0.414  0.828  -0.01
H  0.289  0.288  0.577  0.00
H  0.711  0.712  0.423  0.00
H  0.084  0.586  0.172  -0.01
Np  0.000  0.000  0.000  3.65
Ni  0.599  0.601  0.202  0.05
Ni  0.401  0.398  0.798  0.05

Calculated values
The space group is No. 12. For the total energy, the calculation gives -4.939 eV per atom. The value obtained for the density of states at the Fermi level is 10.056 states/eV/f.u.


Record 5
The following is a DFT calculation (PBE) of a relaxed CsHgAsSe4 crystal.

Cell lengths 6.906, 7.905, 10.425 Å; angles 90.00, 110.86, 90.00 degrees
Sites, in units of the cell vectors:
Se  0.463  0.250  0.505
Se  0.989  0.017  0.714
Se  0.658  0.250  0.892
Se  0.011  0.983  0.286
Se  0.342  0.750  0.108
Se  0.989  0.483  0.714
Se  0.011  0.517  0.286
Se  0.537  0.750  0.495
Cs  0.252  0.250  0.075
Cs  0.748  0.750  0.925
Hg  0.236  0.250  0.655
Hg  0.764  0.750  0.345
As  0.767  0.250  0.704
As  0.233  0.750  0.296

Calculated values
The space group is No. 11. As for the uncorrected formation energy: -0.35 eV/atom. For the total energy, the calculation gives -3.166 eV per atom.


Record 6
The following is a DFT calculation (PBE) of a relaxed SnBiP crystal.

Cell lengths 3.270, 5.030, 10.870 Å; angles 77.28, 87.15, 73.90 degrees
Sites, in units of the cell vectors:
P  0.954  0.575  0.318
P  0.325  0.878  0.317
Sn  0.147  0.124  0.524
Sn  0.130  0.329  0.111
Bi  0.636  0.524  0.723
Bi  0.649  0.930  0.912

Calculated values
The space group is No. 1. For the total energy, the calculation gives -4.382 eV per atom. The formation enthalpy at 0 K comes out at 0.0492 eV/atom. The value obtained for the density of states at the Fermi level is 1.359 states/eV/f.u.


Please write out number 2 again, unchanged.
The following is a DFT calculation (PBE) of a relaxed Ho2TmAl crystal.

Cell lengths 4.710, 4.727, 4.727 Å; angles 90.00, 90.00, 90.00 degrees
Sites, in units of the cell vectors:
Tm  0.500  0.500  0.500
Ho  0.000  0.500  0.000
Ho  0.000  0.000  0.500
Al  0.500  0.000  0.000

Calculated values
The space group is No. 123. For the total energy, the calculation gives -4.537 eV per atom. The formation enthalpy at 0 K comes out at -0.1947 eV/atom. The value obtained for the density of states at the Fermi level is 4.734 states/eV/f.u.